No. 1
VASP calculation (PBE) on a relaxed Y4SnTe2 crystal.

Properties
Density   4.9 g cm⁻³
Final energy   -5.6068 eV/atom
Formation energy from raw total energies   -3.11 eV per formula unit
Energy above the lowest structure with this stoichiometry   3.566 eV/f.u.
Magnetization   0.000 μB/cell
N(E_F)   1.087 states/eV per atom

Unit cell a=8.6574 b=8.6574 c=8.6574 alpha=141.58 beta=141.58 gamma=55.46
Element x y z (fractional)
Y 0.0000 0.5000 0.5000
Y 0.1953 0.1953 0.0000
Y 0.5000 0.0000 0.5000
Y 0.8047 0.8047 0.0000
Sn 0.0000 0.0000 0.0000
Te 0.3869 0.3869 0.0000
Te 0.6131 0.6131 0.0000

***

No. 2
VASP calculation (PBE) on a relaxed YSnTe3 crystal.

Properties
Density   5.5 g cm⁻³
Final energy   -4.0006 eV/atom
Formation energy from raw total energies   -0.11 eV per formula unit
Energy above the lowest structure with this stoichiometry   3.745 eV/f.u.
Magnetization   0.000 μB/cell
N(E_F)   0.420 states/eV per atom

Unit cell a=5.6188 b=5.6188 c=5.6188 alpha=90.00 beta=90.00 gamma=90.00
Element x y z (fractional)
Y 0.0000 0.0000 0.0000
Sn 0.5000 0.5000 0.5000
Te 0.0000 0.5000 0.5000
Te 0.5000 0.0000 0.5000
Te 0.5000 0.5000 0.0000

***

No. 3
VASP calculation (PBE) on a relaxed YSn3Te6 crystal.

Properties
Density   6.1 g cm⁻³
Final energy   -4.2016 eV/atom
Formation energy from raw total energies   -4.69 eV per formula unit
Magnetization   0.000 μB/cell
N(E_F)   0.443 states/eV per atom

Unit cell a=12.7581 b=4.3001 c=13.0043 alpha=90.00 beta=112.50 gamma=90.00
Element x y z (fractional)
Y 0.2062 0.2500 0.0499
Y 0.7938 0.7500 0.9501
Sn 0.0489 0.7500 0.2935
Sn 0.3448 0.2500 0.4575
Sn 0.3853 0.7500 0.8367
Sn 0.6147 0.2500 0.1633
Sn 0.6552 0.7500 0.5425
Sn 0.9511 0.2500 0.7065
Te 0.0246 0.7500 0.9037
Te 0.1124 0.2500 0.4670
Te 0.2144 0.2500 0.8027
Te 0.2558 0.7500 0.2432
Te 0.4006 0.7500 0.0718
Te 0.4449 0.7500 0.6271
Te 0.5551 0.2500 0.3729
Te 0.5994 0.2500 0.9282
Te 0.7442 0.2500 0.7568
Te 0.7856 0.7500 0.1973
Te 0.8876 0.7500 0.5330
Te 0.9754 0.2500 0.0963

***

No. 4
VASP calculation (PBE) on a relaxed YSnTe3 crystal.

Properties
Density   5.0 g cm⁻³
Final energy   -4.2096 eV/atom
Formation energy from raw total energies   -1.16 eV per formula unit
Energy above the lowest structure with this stoichiometry   2.700 eV/f.u.
Magnetization   0.000 μB/cell
N(E_F)   0.487 states/eV per atom

Unit cell a=5.8214 b=5.8214 c=5.8214 alpha=90.00 beta=90.00 gamma=90.00
Element x y z (fractional)
Y 0.0000 0.0000 0.0000
Sn 0.5000 0.5000 0.5000
Te 0.0000 0.0000 0.5000
Te 0.0000 0.5000 0.0000
Te 0.5000 0.0000 0.0000

***

No. 5
VASP calculation (PBE) on a relaxed Y3SnTe crystal.

Properties
Density   5.3 g cm⁻³
Final energy   -6.1370 eV/atom
Formation energy from raw total energies   -4.15 eV per formula unit
Energy above the lowest structure with this stoichiometry   0.000 eV/f.u.
Magnetization   0.001 μB/cell
N(E_F)   1.294 states/eV per atom

Unit cell a=8.6118 b=4.2854 c=8.6654 alpha=90.00 beta=92.37 gamma=90.00
Element x y z (fractional)
Y 0.1169 0.2500 0.3681
Y 0.1532 0.7500 0.0042
Y 0.3775 0.7500 0.6461
Y 0.6225 0.2500 0.3539
Y 0.8468 0.2500 0.9958
Y 0.8831 0.7500 0.6319
Sn 0.1315 0.2500 0.7417
Sn 0.8685 0.7500 0.2583
Te 0.3691 0.7500 0.2939
Te 0.6309 0.2500 0.7061

***

No. 6
VASP calculation (PBE) on a relaxed Y2SnTe4 crystal.

Properties
Density   5.3 g cm⁻³
Final energy   -5.2838 eV/atom
Formation energy from raw total energies   -7.49 eV per formula unit
Magnetization   0.000 μB/cell

Unit cell a=8.6062 b=8.6062 c=7.6527 alpha=114.70 beta=114.70 gamma=29.69
Element x y z (fractional)
Y 0.2387 0.2387 0.2232
Y 0.7613 0.7613 0.7768
Sn 0.5000 0.5000 0.5000
Te 0.1386 0.1386 0.4842
Te 0.3744 0.3744 0.0436
Te 0.6256 0.6256 0.9564
Te 0.8614 0.8614 0.5158

***

No. 7
VASP calculation (PBE) on a relaxed YSn2Te2 crystal.

Properties
Density   6.5 g cm⁻³
Final energy   -4.4857 eV/atom
Formation energy from raw total energies   -1.68 eV per formula unit
Energy above the lowest structure with this stoichiometry   0.395 eV/f.u.
Magnetization   0.000 μB/cell
N(E_F)   0.494 states/eV per atom

Unit cell a=8.2094 b=8.2094 c=4.4283 alpha=90.00 beta=90.00 gamma=90.00
Element x y z (fractional)
Y 0.0000 0.0000 0.0000
Y 0.5000 0.5000 0.0000
Sn 0.1333 0.3667 0.0000
Sn 0.3667 0.8667 0.0000
Sn 0.6333 0.1333 0.0000
Sn 0.8667 0.6333 0.0000
Te 0.1912 0.6912 0.5000
Te 0.3088 0.1912 0.5000
Te 0.6912 0.8088 0.5000
Te 0.8088 0.3088 0.5000

***

No. 8
VASP calculation (PBE) on a relaxed Y4SnTe2 crystal.

Properties
Density   5.6 g cm⁻³
Final energy   -6.0947 eV/atom
Formation energy from raw total energies   -6.52 eV per formula unit
Energy above the lowest structure with this stoichiometry   0.150 eV/f.u.
Magnetization   0.000 μB/cell
N(E_F)   0.913 states/eV per atom

Unit cell a=8.2430 b=8.2430 c=8.2430 alpha=108.83 beta=108.83 gamma=110.77
Element x y z (fractional)
Y 0.1811 0.2412 0.5601
Y 0.1811 0.6209 0.9399
Y 0.2412 0.1811 0.0601
Y 0.3791 0.8189 0.5601
Y 0.6209 0.1811 0.4399
Y 0.7588 0.8189 0.9399
Y 0.8189 0.3791 0.0601
Y 0.8189 0.7588 0.4399
Sn 0.1250 0.8750 0.2500
Sn 0.8750 0.1250 0.7500
Te 0.0000 0.5000 0.5000
Te 0.5000 0.0000 0.0000
Te 0.5000 0.5000 0.0000
Te 0.5000 0.5000 0.5000

***

No. 9
VASP calculation (PBE) on a relaxed YSn3Te crystal.

Properties
Density   5.1 g cm⁻³
Final energy   -3.8107 eV/atom
Formation energy from raw total energies   2.56 eV per formula unit
Energy above the lowest structure with this stoichiometry   0.000 eV/f.u.
Magnetization   0.000 μB/cell
N(E_F)   1.375 states/eV per atom

Unit cell a=5.7055 b=5.7055 c=5.7055 alpha=90.00 beta=90.00 gamma=90.00
Element x y z (fractional)
Y 0.0000 0.0000 0.0000
Sn 0.0000 0.5000 0.5000
Sn 0.5000 0.0000 0.5000
Sn 0.5000 0.5000 0.0000
Te 0.5000 0.5000 0.5000

***

No. 10
VASP calculation (PBE) on a relaxed Y5Sn2Te2 crystal.

Properties
Density   6.1 g cm⁻³
Final energy   -6.1909 eV/atom
Formation energy from raw total energies   -9.11 eV per formula unit
Magnetization   0.001 μB/cell
N(E_F)   1.018 states/eV per atom

Unit cell a=8.7268 b=8.7268 c=8.1335 alpha=90.00 beta=90.00 gamma=55.21
Element x y z (fractional)
Y 0.0000 0.0000 0.0000
Y 0.0305 0.7011 0.6637
Y 0.2011 0.5305 0.1637
Y 0.2989 0.9695 0.6637
Y 0.4695 0.7989 0.1637
Y 0.5000 0.5000 0.5000
Y 0.5305 0.2011 0.8363
Y 0.7011 0.0305 0.3363
Y 0.7989 0.4695 0.8363
Y 0.9695 0.2989 0.3363
Sn 0.1374 0.8626 0.3640
Sn 0.3626 0.6374 0.8640
Sn 0.6374 0.3626 0.1360
Sn 0.8626 0.1374 0.6360
Te 0.2022 0.2022 0.0000
Te 0.2978 0.2978 0.5000
Te 0.7022 0.7022 0.5000
Te 0.7978 0.7978 0.0000